Density functional theory data (PBE-GGA) for a relaxed CsNa2AgAs crystal.

* final energy: -2.34 eV per atom

Unit cell a=5.7502 b=5.7502 c=5.3240 alpha=90.00 beta=90.00 gamma=90.00
With the nearest neighbours (Å) after each atom.
Atoms (fractional coordinates):
1 Ag 0.0000 0.0000 0.5000  2 As 2.66
2 Na 0.0000 0.5000 0.0000  2 As 2.88
3 Cs 0.5000 0.5000 0.5000  8 Na 3.92, 4 Ag 4.07
4 Na 0.5000 0.0000 0.0000  2 As 2.88
5 As 0.0000 0.0000 0.0000  2 Ag 2.66, 4 Na 2.88

Density functional theory data (PBE-GGA) for a relaxed CsAgAsO4 crystal.

* formation energy from raw total energies: -1001 meV/atom

Unit cell a=6.4235 b=6.4235 c=5.8755 alpha=123.14 beta=123.14 gamma=90.00
With the nearest neighbours (Å) after each atom.
Atoms (fractional coordinates):
1 O 0.2721 0.0773 0.7521  1 As 1.73
2 Cs 0.0000 0.0000 0.0000  4 O 3.00
3 Ag 0.5000 0.5000 0.0000  4 O 2.23
4 As 0.2500 0.7500 0.5000  4 O 1.73
5 O 0.4800 0.6748 0.7521  1 As 1.73
6 O 0.3252 0.7279 0.2479  1 As 1.73
7 O 0.9227 0.5200 0.2479  1 As 1.73

Density functional theory data (PBE-GGA) for a relaxed Cs2AgAsO4 crystal.

* formation energy from raw total energies: -1251 meV/atom

Unit cell a=5.8477 b=6.8601 c=11.2251 alpha=83.63 beta=74.90 gamma=64.77
With the nearest neighbours (Å) after each atom.
Atoms (fractional coordinates):
1 As 0.5000 0.0000 0.0000  4 O 1.74
2 O 0.8036 0.8348 0.9124  1 As 1.74
3 O 0.3884 0.6652 0.4124  1 As 1.74
4 Ag 0.7500 0.5000 0.5000  4 O 2.35
5 O 0.1992 0.3348 0.4124  1 As 1.74
6 O 0.9464 0.6652 0.5876  1 As 1.74
7 O 0.5508 0.1652 0.0876  1 As 1.74
8 Ag 0.0000 0.0000 0.0000  4 O 2.35
9 Cs 0.9261 0.5000 0.1477  6 O 3.31-3.58
10 Cs 0.8239 0.0000 0.3523  6 O 3.31-3.58
11 O 0.2840 0.1652 0.9124  1 As 1.74
12 O 0.4660 0.3348 0.5876  1 As 1.74
13 O 0.3616 0.8348 0.0876  1 As 1.74
14 As 0.2500 0.5000 0.5000  4 O 1.74
15 Cs 0.5739 0.5000 0.8523  6 O 3.31-3.58
16 Cs 0.1761 0.0000 0.6477  6 O 3.31-3.58

Density functional theory data (PBE-GGA) for a relaxed Cs2AgAs2Pd2 crystal.

* final energy: -3.83 eV per atom

Unit cell a=4.6137 b=6.8049 c=8.1558 alpha=74.38 beta=73.57 gamma=70.18
With the nearest neighbours (Å) after each atom.
Atoms (fractional coordinates):
1 Ag 0.0000 0.0000 0.0000  2 As 2.54
2 As 0.7649 0.2978 0.1724  3 Pd 2.48-2.50, 1 Ag 2.54
3 Pd 0.7629 0.5744 0.8998  3 As 2.48-2.50
4 Cs 0.5648 0.2035 0.6668  2 Ag 3.54, 4 As 3.65-3.96, 1 Pd 3.92
5 As 0.2351 0.7022 0.8276  3 Pd 2.48-2.50, 1 Ag 2.54
6 Cs 0.4352 0.7965 0.3332  2 Ag 3.54, 4 As 3.65-3.96, 1 Pd 3.92
7 Pd 0.2371 0.4256 0.1002  3 As 2.48-2.50

Density functional theory data (PBE-GGA) for a relaxed Cs2RbAgAs crystal.

* final energy: -2.08 eV per atom

Unit cell a=7.4205 b=7.4205 c=4.9941 alpha=90.00 beta=90.00 gamma=90.00
With the nearest neighbours (Å) after each atom.
Atoms (fractional coordinates):
1 Cs 0.5000 0.0000 0.0000  2 As 3.71
2 Cs 0.0000 0.5000 0.0000  2 As 3.71
3 Rb 0.5000 0.5000 0.5000  8 Cs 4.47, 2 Rb 4.99
4 Ag 0.0000 0.0000 0.5000  2 As 2.50
5 As 0.0000 0.0000 0.0000  2 Ag 2.50

Density functional theory data (PBE-GGA) for a relaxed CsAgAsRh crystal.

* final energy: -4.28 eV per atom

Unit cell a=4.0426 b=4.0426 c=13.6045 alpha=90.00 beta=90.00 gamma=90.00
With the nearest neighbours (Å) after each atom.
Atoms (fractional coordinates):
1 Cs 0.7500 0.7500 0.2667  4 As 3.63, 4 Ag 3.76, 4 Cs 4.04
2 Ag 0.2500 0.7500 0.5000  4 Ag 2.86
3 As 0.7500 0.7500 0.8980  4 Rh 2.45
4 Ag 0.7500 0.2500 0.5000  4 Ag 2.86
5 Rh 0.2500 0.7500 0.0000  4 As 2.45
6 As 0.2500 0.2500 0.1020  4 Rh 2.45
7 Cs 0.2500 0.2500 0.7333  4 As 3.63, 4 Ag 3.76, 4 Cs 4.04
8 Rh 0.7500 0.2500 0.0000  4 As 2.45

Density functional theory data (PBE-GGA) for a relaxed CsAgAs2S4 crystal.

* formation energy from raw total energies: -86 meV/atom

Unit cell a=6.7935 b=7.5373 c=7.5373 alpha=65.09 beta=63.21 gamma=63.21
With the nearest neighbours (Å) after each atom.
Atoms (fractional coordinates):
1 Cs 0.0000 0.0000 0.0000  4 S 3.63
2 As 0.1158 0.3842 0.3842  2 S 2.21
3 S 0.8998 0.3707 0.2447  1 As 2.21
4 S 0.1002 0.7553 0.6293  1 As 2.21
5 S 0.5153 0.6293 0.7553  1 As 2.21
6 Ag 0.5000 0.5000 0.5000  4 S 2.55
7 As 0.8842 0.6158 0.6158  2 S 2.21
8 S 0.4847 0.2447 0.3707  1 As 2.21

Density functional theory data (PBE-GGA) for a relaxed CsAgAsS3 crystal.

* formation energy from raw total energies: -455 meV/atom

Unit cell a=7.6020 b=7.6020 c=8.3450 alpha=71.73 beta=71.73 gamma=58.15
With the nearest neighbours (Å) after each atom.
Atoms (fractional coordinates):
1 S 0.3079 0.8102 0.1962  1 As 2.22, 1 Ag 2.37
2 S 0.1898 0.6921 0.8038  1 As 2.22, 1 Ag 2.37
3 Ag 0.2553 0.7447 0.5000  2 S 2.37
4 S 0.1944 0.1944 0.7074  1 As 2.13
5 Cs 0.3018 0.3018 0.2135  9 S 3.74-3.85
6 As 0.0245 0.0245 0.8377  3 S 2.13-2.22
7 Cs 0.6982 0.6982 0.7865  9 S 3.74-3.85
8 S 0.8056 0.8056 0.2926  1 As 2.13
9 Ag 0.7447 0.2553 0.5000  2 S 2.37
10 S 0.8102 0.3079 0.1962  1 As 2.22, 1 Ag 2.37
11 S 0.6921 0.1898 0.8038  1 As 2.22, 1 Ag 2.37
12 As 0.9755 0.9755 0.1623  3 S 2.13-2.22